Record 1
First-principles (SCAN) data for a PBEsol-optimized structure of CrAs4, as listed in Alexandria.

Computed properties:
final energy = -19.638 eV/atom
ΔH_f (0 K) = 0.192 eV/atom
D(E_F) = 5.22 states/eV/cell

```
data_CrAs4
_chemical_formula_sum 'Cr2 As8'
_space_group_name_H-M_alt 'I m -3 m'
_space_group_IT_number 229
_space_group_name_Hall '-I 4 2 3'
_cell_length_a 5.761
_cell_length_b 5.761
_cell_length_c 5.761
_cell_angle_alpha 90.00
_cell_angle_beta 90.00
_cell_angle_gamma 90.00
loop_
_atom_site_label
_atom_site_fract_x
_atom_site_fract_y
_atom_site_fract_z
Cr1 0.000 0.000 0.000
As1 0.250 0.250 0.250
```

***

Record 2
First-principles (SCAN) data for a PBEsol-optimized structure of Cs2CrAs2, as listed in Alexandria.

Computed properties:
final energy = -26.588 eV/atom
ΔH_f (0 K) = 0.289 eV/atom
D(E_F) = 5.73 states/eV/cell

```
data_Cs2CrAs2
_chemical_formula_sum 'Cs4 Cr2 As4'
_space_group_name_H-M_alt 'I 4/m m m'
_space_group_IT_number 139
_space_group_name_Hall '-I 4 2'
_cell_length_a 3.784
_cell_length_b 3.784
_cell_length_c 23.606
_cell_angle_alpha 90.00
_cell_angle_beta 90.00
_cell_angle_gamma 90.00
loop_
_atom_site_label
_atom_site_fract_x
_atom_site_fract_y
_atom_site_fract_z
Cs1 0.000 0.000 0.119
Cr1 0.000 0.000 0.500
As1 0.000 0.500 0.250
```